Material: In2RuF
Method: DFT, PBE
State: relaxed Values from VASP.

Computed properties:
For the energy relative to the elements, uncorrected, the calculation gives -262.5 meV per atom. As for the energy above the most stable polymorph in this dataset: 0.48 eV per formula unit. The value obtained for the total energy is -17.67 eV for the cell shown. The space-group type is Fm-3m (225).

Quantum ESPRESSO input file:
```
&SYSTEM
  ibrav = 0, nat = 4, ntyp = 3
/
ATOMIC_SPECIES
F 19.00 F.upf
Ru 101.07 Ru.upf
In 114.82 In.upf
ATOMIC_POSITIONS angstrom
F 0.000 0.000 0.000
Ru -5.008 2.547 0.674
In -2.504 1.273 0.337
In -7.512 3.820 1.011
CELL_PARAMETERS angstrom
-4.090 -0.226 2.137
-2.107 3.876 1.373
-3.820 1.443 -2.162
```

=====

Material: InBi2Pb
Method: DFT, PBE
State: relaxed Values from VASP.

Computed properties:
The energy of formation from the pure elements comes out at 0.1365 eV/atom. The value obtained for the total energy is -27.33 eV for the cell shown. The space-group type is I-42d (122).

Quantum ESPRESSO input file:
```
&SYSTEM
  ibrav = 0, nat = 8, ntyp = 3
/
ATOMIC_SPECIES
Bi 208.98 Bi.upf
In 114.82 In.upf
Pb 207.20 Pb.upf
ATOMIC_POSITIONS angstrom
Bi -4.046 -4.293 7.062
Bi -7.961 -6.712 8.469
Bi -4.416 -0.634 3.589
In -3.964 -2.630 1.415
Pb 0.000 0.000 0.000
In -3.472 -6.208 4.845
Pb -5.855 -2.005 5.981
Bi -2.229 -4.788 2.532
CELL_PARAMETERS angstrom
-6.347 1.573 2.551
-1.581 -6.833 0.280
-1.399 -2.954 7.995
```

=====

Which value of total energy does entry 2 give? -27.33 eV for the cell shown

=====

What is the total energy in the second record? -27.33 eV for the cell shown

=====

The highest total energy belongs to which entry? In2RuF